The following is a GGA+U calculation of a geometry-optimized TlCrAg2F6 structure, from the Alexandria database.

Lattice parameters (Å, degrees): 5.9445 6.4657 8.4580 90.00 88.26 90.00
Element x y z (fractional)
Tl 0.5000 0.0000 0.0000
Tl 0.0000 0.5000 0.5000
Cr 0.5000 0.0000 0.5000
Cr 0.0000 0.5000 0.0000
Ag 0.0146 0.9643 0.2616
Ag 0.5146 0.5357 0.7616
Ag 0.9854 0.0357 0.7384
Ag 0.4854 0.4643 0.2384
F 0.2822 0.6459 0.0241
F 0.7822 0.8541 0.5241
F 0.7178 0.3541 0.9759
F 0.2178 0.1459 0.4759
F 0.3709 0.7743 0.3761
F 0.8709 0.7257 0.8761
F 0.6291 0.2257 0.6239
F 0.1291 0.2743 0.1239
F 0.8751 0.6302 0.1932
F 0.3751 0.8698 0.6932
F 0.1249 0.3698 0.8068
F 0.6249 0.1302 0.3068

Energy   -4.56 eV/atom
Density of states at the Fermi level   0.000 states/eV/cell